Arrangement i

# BeTcNi

BeTcNi after structural relaxation (PBE, OQMD via LeMat-Bulk).

Cell lengths 3.795, 3.795, 3.795 Å; angles 60.00, 60.00, 60.00 degrees
Atoms (fractional coordinates):
Be (0.000, 0.000, 0.000)
Tc (0.500, 0.500, 0.500)
Ni (0.250, 0.250, 0.250)

- magnetic moment (μB per formula unit) = 0.97
- calculated volume (Å³/atom) = 12.9

Arrangement ii

# BeTcNi

BeTcNi after structural relaxation (PBE, OQMD via LeMat-Bulk).

Cell lengths 3.865, 3.865, 3.865 Å; angles 60.00, 60.00, 60.00 degrees
Atoms (fractional coordinates):
Be (0.000, 0.000, 0.000)
Tc (0.750, 0.750, 0.750)
Ni (0.500, 0.500, 0.500)

- magnetic moment (μB per formula unit) = 1.00
- calculated volume (Å³/atom) = 13.6

Best to worst by energy: arrangement i, arrangement ii.

Arrangement i

# BeZnTcNi

BeZnTcNi after structural relaxation (PBE, OQMD via LeMat-Bulk).

Cell lengths 4.055, 4.055, 4.055 Å; angles 60.00, 60.00, 60.00 degrees
Atoms (fractional coordinates):
Be (0.000, 0.000, 0.000)
Zn (0.500, 0.500, 0.500)
Tc (0.250, 0.250, 0.250)
Ni (0.750, 0.750, 0.750)

- magnetic moment (μB per formula unit) = 0.00
- calculated volume (Å³/atom) = 11.8

Arrangement ii

# BeZnTcNi

BeZnTcNi after structural relaxation (PBE, OQMD via LeMat-Bulk).

Cell lengths 4.078, 4.078, 4.078 Å; angles 60.00, 60.00, 60.00 degrees
Atoms (fractional coordinates):
Be (0.000, 0.000, 0.000)
Zn (0.250, 0.250, 0.250)
Tc (0.750, 0.750, 0.750)
Ni (0.500, 0.500, 0.500)

- magnetic moment (μB per formula unit) = 2.03
- calculated volume (Å³/atom) = 12.0

Best to worst by energy: arrangement ii, arrangement i.

Arrangement i

# ThBeNi

ThBeNi after structural relaxation (PBE, OQMD via LeMat-Bulk).

Cell lengths 4.403, 4.403, 4.403 Å; angles 60.00, 60.00, 60.00 degrees
Atoms (fractional coordinates):
Th (0.000, 0.000, 0.000)
Be (0.500, 0.500, 0.500)
Ni (0.250, 0.250, 0.250)

- magnetic moment (μB per formula unit) = 0.01
- calculated volume (Å³/atom) = 20.1

Arrangement ii

# ThBeNi

ThBeNi after structural relaxation (PBE, OQMD via LeMat-Bulk).

Cell lengths 4.296, 4.296, 4.296 Å; angles 60.00, 60.00, 60.00 degrees
Atoms (fractional coordinates):
Th (0.000, 0.000, 0.000)
Be (0.750, 0.750, 0.750)
Ni (0.500, 0.500, 0.500)

- magnetic moment (μB per formula unit) = 0.00
- calculated volume (Å³/atom) = 18.7

Best to worst by energy: arrangement i, arrangement ii.

Arrangement i

# TmBeNi

TmBeNi after structural relaxation (PBE, OQMD via LeMat-Bulk).

Cell lengths 4.143, 4.143, 4.143 Å; angles 60.00, 60.00, 60.00 degrees
Atoms (fractional coordinates):
Tm (0.000, 0.000, 0.000)
Be (0.750, 0.750, 0.750)
Ni (0.500, 0.500, 0.500)

- magnetic moment (μB per formula unit) = 0.00
- calculated volume (Å³/atom) = 16.8

Arrangement ii

# TmBeNi

TmBeNi after structural relaxation (PBE, OQMD via LeMat-Bulk).

Cell lengths 4.335, 4.335, 4.335 Å; angles 60.00, 60.00, 60.00 degrees
Atoms (fractional coordinates):
Tm (0.000, 0.000, 0.000)
Be (0.750, 0.750, 0.750)
Ni (0.250, 0.250, 0.250)

- magnetic moment (μB per formula unit) = 0.00
- calculated volume (Å³/atom) = 19.2

Best to worst by energy: arrangement i, arrangement ii.